Record 1
# Pr3Mg2InPdAu2

A relaxed structure of Pr3Mg2InPdAu2 (PBE-GGA, OQMD via LeMat-Bulk).

```
data_Pr3Mg2InPdAu2
_chemical_formula_sum 'Pr3 Mg2 In1 Pd1 Au2'
_symmetry_space_group_name_H-M 'P 1'
_symmetry_Int_Tables_number 1
_symmetry_space_group_name_Hall 'P 1'
_cell_length_a 4.153
_cell_length_b 7.852
_cell_length_c 7.852
_cell_angle_alpha 119.81
_cell_angle_beta 90.00
_cell_angle_gamma 90.00
loop_
_atom_site_label
_atom_site_fract_x
_atom_site_fract_y
_atom_site_fract_z
Au1 0.000 0.324 0.664
Au2 0.000 0.664 0.324
Pd1 0.500 0.011 0.011
Mg1 0.000 0.000 0.237
Mg2 0.000 0.237 0.000
Pr1 0.500 0.591 0.996
Pr2 0.500 0.996 0.591
Pr3 0.500 0.415 0.415
In1 0.000 0.762 0.762
```

Computed properties:
- total DFT energy (no corrections) (eV/atom) = -4.23
- calculated density (Mg/m³) = 8.12

---

Record 2
# SrB4Pd

A relaxed structure of SrB4Pd (PBE-GGA, OQMD via LeMat-Bulk).

```
data_SrB4Pd
_chemical_formula_sum 'Sr1 B4 Pd1'
_symmetry_space_group_name_H-M 'P 1'
_symmetry_Int_Tables_number 1
_symmetry_space_group_name_Hall 'P 1'
_cell_length_a 3.189
_cell_length_b 3.189
_cell_length_c 7.588
_cell_angle_alpha 90.00
_cell_angle_beta 90.00
_cell_angle_gamma 120.00
loop_
_atom_site_label
_atom_site_fract_x
_atom_site_fract_y
_atom_site_fract_z
Sr1 0.000 0.000 0.000
Pd1 0.000 0.000 0.500
B1 0.333 0.667 0.288
B2 0.333 0.667 0.712
B3 0.667 0.333 0.288
B4 0.667 0.333 0.712
```

Computed properties:
- total DFT energy (no corrections) (eV/atom) = -5.46
- polymorph energy (0 for the lowest one) (meV/atom) = 0.0
- calculated density (Mg/m³) = 5.90